1.
Here is crystalline Rb2CdBr6N at its relaxed geometry from Alexandria. Energies are from PBE-GGA.

CIF file:
```
data_Rb2CdBr6N
_cell_length_a 7.471
_cell_length_b 7.471
_cell_length_c 10.589
_cell_angle_alpha 90.00
_cell_angle_beta 90.00
_cell_angle_gamma 90.00
_symmetry_space_group_name_H-M 'I 4/m m m'
_symmetry_Int_Tables_number 139
_symmetry_space_group_name_Hall '-I 4 2'
loop_
_atom_site_label
_atom_site_type_symbol
_atom_site_fract_x
_atom_site_fract_y
_atom_site_fract_z
Rb1 Rb 0.000 0.500 0.250
Cd1 Cd 0.000 0.000 0.000
Br1 Br 0.000 0.000 0.270
Br2 Br 0.238 0.238 0.500
N1 N 0.000 0.000 0.500
```

Results
The value obtained for the uncorrected formation energy is -4.431 eV/f.u.

2.
Here is crystalline ScTcI2N at its relaxed geometry from Alexandria. Energies are from PBE-GGA.

CIF file:
```
data_ScTcI2N
_cell_length_a 5.898
_cell_length_b 5.898
_cell_length_c 3.867
_cell_angle_alpha 90.00
_cell_angle_beta 90.00
_cell_angle_gamma 90.00
_symmetry_space_group_name_H-M 'P 4/m m m'
_symmetry_Int_Tables_number 123
_symmetry_space_group_name_Hall '-P 4 2'
loop_
_atom_site_label
_atom_site_type_symbol
_atom_site_fract_x
_atom_site_fract_y
_atom_site_fract_z
Sc1 Sc 0.000 0.000 0.000
Tc1 Tc 0.500 0.500 0.500
I1 I 0.000 0.500 0.000
N1 N 0.000 0.000 0.500
```

Results
The value obtained for the uncorrected formation energy is 2.848 eV/f.u. Its energy above the most stable polymorph in this dataset is 377 meV/atom.

3.
Here is crystalline Y6RuPt3 at its relaxed geometry from Alexandria. Energies are from PBE-GGA.

CIF file:
```
data_Y6RuPt3
_cell_length_a 8.129
_cell_length_b 12.344
_cell_length_c 4.852
_cell_angle_alpha 90.00
_cell_angle_beta 90.00
_cell_angle_gamma 90.00
_symmetry_space_group_name_H-M 'P n n m'
_symmetry_Int_Tables_number 58
loop_
_symmetry_equiv_pos_as_xyz
'x,y,z'
'-x,-y,-z'
'-x,-y,z'
'x,y,-z'
'x+1/2,-y+1/2,-z+1/2'
'-x+1/2,y+1/2,z+1/2'
'-x+1/2,y+1/2,-z+1/2'
'x+1/2,-y+1/2,z+1/2'
loop_
_atom_site_label
_atom_site_type_symbol
_atom_site_fract_x
_atom_site_fract_y
_atom_site_fract_z
Y1 Y 0.003 0.240 0.000
Y2 Y 0.146 0.406 0.500
Y3 Y 0.180 0.074 0.500
Ru1 Ru 0.000 0.500 0.000
Pt1 Pt 0.000 0.000 0.000
Pt2 Pt 0.167 0.834 0.500
```

Results
For the formation energy, the calculation gives -0.753 eV per atom.

Total moment for the records above, in order: 0.00; 4.79; 0.00 μB/cell